{
  "formula": "NdHoSc",
  "functional": "PBE",
  "state": "optimized geometry",
  "dft_energy_ev_per_atom": -4.546,
  "polymorph_energy_mev_per_atom": 0,
  "delta_e_f_ev_per_atom": 0.6767,
  "crystal_system": "cubic",
  "lattice": [[0.7346, 2.2143, 4.7430], [-3.3277, -1.0763, 3.9631], [1.6115, -2.9552, 4.0753]],
  "species": ["Sc", "Ho", "Nd"],
  "frac_coords": [[0.0000, 0.0000, 0.0000], [0.2500, 0.2500, 0.2500], [0.7500, 0.7500, 0.7500]]
}

---

{
  "formula": "CuW4AuN2",
  "functional": "PBE",
  "state": "optimized geometry",
  "dft_energy_ev_per_atom": -9.227,
  "crystal_system": "hexagonal",
  "lattice": [[2.8245, 0.0000, 0.0000], [-1.4123, 2.4461, 0.0000], [0.0000, 0.0000, 15.0937]],
  "species": ["W", "N", "N", "W", "W", "W", "Au", "Cu"],
  "frac_coords": [[0.0000, 0.0000, 0.3544], [0.3333, 0.6667, 0.7422], [0.3333, 0.6667, 0.2578], [0.6667, 0.3333, 0.8375], [0.0000, 0.0000, 0.6456], [0.6667, 0.3333, 0.1625], [0.0000, 0.0000, 0.0000], [0.6667, 0.3333, 0.5000]]
}

---

{
  "formula": "Er2ReGe2",
  "functional": "PBE",
  "state": "optimized geometry",
  "dft_energy_ev_per_atom": -6.729,
  "crystal_system": "monoclinic",
  "lattice": [[0.3550, 5.0035, 3.0581], [-2.3292, 5.3909, -0.1616], [-5.8173, -7.2214, 3.9808]],
  "species": ["Re", "Er", "Er", "Ge", "Ge", "Re", "Er", "Er", "Ge", "Ge"],
  "frac_coords": [[0.7270, 0.7270, 0.3682], [0.1852, 0.1852, 0.1138], [0.8148, 0.8148, 0.8862], [0.4917, 0.4917, 0.1245], [0.3626, 0.3626, 0.4390], [0.2730, 0.2730, 0.6318], [0.9932, 0.9932, 0.3231], [0.0068, 0.0068, 0.6769], [0.6374, 0.6374, 0.5610], [0.5083, 0.5083, 0.8755]]
}

---

{
  "formula": "Cu15Sb",
  "functional": "PBE",
  "state": "optimized geometry",
  "dft_energy_ev_per_atom": -3.700,
  "polymorph_energy_mev_per_atom": 7,
  "crystal_system": "orthorhombic",
  "lattice": [[-5.9873, -3.7340, 1.7625], [22.6490, -34.6841, 3.4583], [0.5815, 0.7312, 3.5245]],
  "species": ["Sb", "Cu", "Cu", "Cu", "Cu", "Cu", "Cu", "Cu", "Cu", "Cu", "Cu", "Cu", "Cu", "Cu", "Cu", "Cu", "Cu", "Cu", "Cu", "Cu", "Cu", "Cu", "Cu", "Cu", "Cu", "Cu", "Sb", "Cu", "Cu", "Cu", "Cu", "Cu", "Cu", "Cu", "Cu", "Cu", "Cu", "Cu", "Cu", "Cu", "Cu", "Cu", "Cu", "Cu", "Cu", "Cu", "Cu", "Cu", "Cu", "Cu", "Cu", "Cu", "Cu", "Cu", "Cu", "Cu", "Sb", "Cu", "Cu", "Cu", "Cu", "Sb", "Cu", "Cu"],
  "frac_coords": [[0.8254, 0.3358, 0.5000], [0.8748, 0.9786, 0.5000], [0.8753, 0.8505, 0.0000], [0.8750, 0.1068, 0.0000], [0.1164, 0.7186, 0.0000], [0.1252, 0.0214, 0.5000], [0.3751, 0.9786, 0.5000], [0.3723, 0.7650, 0.0000], [0.8741, 0.1921, 0.0000], [0.1164, 0.2814, 0.5000], [0.6245, 0.1493, 0.0000], [0.1202, 0.2355, 0.0000], [0.8798, 0.2355, 0.5000], [0.3950, 0.3187, 0.5000], [0.6250, 0.9358, 0.5000], [0.6277, 0.7650, 0.5000], [0.8798, 0.7645, 0.0000], [0.8741, 0.8079, 0.5000], [0.6332, 0.2763, 0.5000], [0.3746, 0.8078, 0.5000], [0.3755, 0.8507, 0.0000], [0.1247, 0.0642, 0.0000], [0.6250, 0.0642, 0.0000], [0.6254, 0.8078, 0.0000], [0.1247, 0.1495, 0.0000], [0.3668, 0.7237, 0.5000], [0.1746, 0.3358, 0.0000], [0.6050, 0.6813, 0.5000], [0.8753, 0.9358, 0.0000], [0.3751, 0.0214, 0.0000], [0.3745, 0.1068, 0.0000], [0.6249, 0.9786, 0.0000], [0.3723, 0.2350, 0.5000], [0.6277, 0.2350, 0.0000], [0.1252, 0.9786, 0.0000], [0.8836, 0.7186, 0.5000], [0.8750, 0.8932, 0.5000], [0.3746, 0.1922, 0.0000], [0.3750, 0.9358, 0.0000], [0.1247, 0.8505, 0.5000], [0.6255, 0.1068, 0.5000], [0.1259, 0.8079, 0.0000], [0.8753, 0.1495, 0.5000], [0.6245, 0.8507, 0.5000], [0.3750, 0.0642, 0.5000], [0.1250, 0.1068, 0.5000], [0.6255, 0.8932, 0.0000], [0.3755, 0.1493, 0.5000], [0.8753, 0.0642, 0.5000], [0.1247, 0.9358, 0.5000], [0.8836, 0.2814, 0.0000], [0.1259, 0.1921, 0.5000], [0.1250, 0.8932, 0.0000], [0.6249, 0.0214, 0.5000], [0.3745, 0.8932, 0.5000], [0.3668, 0.2763, 0.0000], [0.1746, 0.6642, 0.5000], [0.6332, 0.7237, 0.0000], [0.1202, 0.7645, 0.5000], [0.3950, 0.6813, 0.0000], [0.6254, 0.1922, 0.5000], [0.8254, 0.6642, 0.0000], [0.6050, 0.3187, 0.0000], [0.8748, 0.0214, 0.0000]]
}